9
Lattice="3.6521 0.0000 0.0000 -1.8261 3.1628 0.0000 0.0000 0.0000 26.4725" Properties=species:S:1:pos:R:3 comment="AcDy2Y6 PBE relaxed" magmom_total_mub_per_fu=1.7 n_ef_per_ev_fu=15.68 delta_e_f_ev_per_atom=0.0694 crystal_system=hexagonal pbc="T T T"
Ac 0.0000 2.1085 0.0000
Y 0.0000 2.1085 14.9287
Y 1.8261 1.0543 23.3597
Y 0.0000 2.1085 5.9266
Dy 1.8261 1.0543 17.7045
Y 1.8261 1.0543 3.1128
Dy 1.8261 1.0543 8.7680
Y 0.0000 2.1085 20.5459
Y 0.0000 2.1085 11.5438